# 1
Below is a relaxed structure of ScSiH, with properties calculated at the PBE level.

Cell: 5.534 5.613 5.564 Å, 90.00 90.00 90.00°
Space group Pnma (No. 62)
Asymmetric unit:
Sc 0.235 0.250 0.006
Si 0.245 0.250 0.523
H 0.047 0.250 0.312

total energy = -5.35 eV per atom

=====

# 2
Below is a relaxed structure of ScSiH, with properties calculated at the PBE level.

Cell: 8.456 3.272 5.669 Å, 90.00 90.00 90.00°
Space group Pnma (No. 62)
Asymmetric unit:
Sc 0.010 0.250 0.239
Si 0.236 0.250 0.589
H 0.090 0.250 0.904

total energy = -5.37 eV per atom

=====

# 3
Below is a relaxed structure of Tb2Sc4Si3H2, with properties calculated at the PBE level.

Cell: 4.278 4.278 22.334 Å, 90.00 90.00 90.00°
Space group I4/mmm (No. 139)
Asymmetric unit:
Tb 0.000 0.000 0.199
Sc 0.000 0.500 0.078
Si 0.000 0.000 0.334
Si 0.000 0.000 0.500
H 0.000 0.000 0.094

total energy = -5.86 eV per atom

=====

# 4
Below is a relaxed structure of Sc2TiSiH, with properties calculated at the PBE level.

Cell: 4.260 4.260 4.085 Å, 90.00 90.00 90.00°
Space group P4/mmm (No. 123)
Asymmetric unit:
Sc 0.000 0.500 0.000
Ti 0.000 0.000 0.500
Si 0.500 0.500 0.500
H 0.000 0.000 0.000

total energy = -6.30 eV per atom

=====

# 5
Below is a relaxed structure of ScTl2SiH, with properties calculated at the PBE level.

Cell: 4.831 4.831 4.042 Å, 90.00 90.00 90.00°
Space group P4/mmm (No. 123)
Asymmetric unit:
Sc 0.000 0.000 0.000
Tl 0.000 0.500 0.500
Si 0.500 0.500 0.000
H 0.500 0.500 0.500

total energy = -3.75 eV per atom

=====

# 6
Below is a relaxed structure of SmScH2, with properties calculated at the PBE level.

Cell: 3.3756 3.3756 17.2326 Å, 90.00 90.00 120.00°
Space group R3m (No. 160, hexagonal axes)
Asymmetric unit:
Sm 0.0000 0.0000 0.0000
Sc 0.0000 0.0000 0.1787
H 0.0000 0.0000 0.5743
H 0.0000 0.0000 0.7839

total energy = -4.71 eV per atom